(1)
# Pm3Ho2Cd4 GGA-PBE optimized geometry
data_Pm3Ho2Cd4
_chemical_formula_sum 'Pm6 Ho4 Cd8'
_cell_length_a 6.657
_cell_length_b 8.107
_cell_length_c 10.306
_cell_angle_alpha 90.00
_cell_angle_beta 108.84
_cell_angle_gamma 90.00
_symmetry_space_group_name_H-M 'P 1'
_symmetry_Int_Tables_number 1
loop_
_symmetry_equiv_pos_as_xyz
'x,y,z'
loop_
_atom_site_label
_atom_site_type_symbol
_atom_site_fract_x
_atom_site_fract_y
_atom_site_fract_z
_atom_site_occupancy
Cd1 Cd 0.829 0.250 0.158 1
Cd2 Cd 0.329 0.250 0.158 1
Cd3 Cd 0.344 0.478 0.688 1
Cd4 Cd 0.844 0.022 0.688 1
Cd5 Cd 0.656 0.522 0.312 1
Cd6 Cd 0.156 0.978 0.312 1
Cd7 Cd 0.171 0.750 0.842 1
Cd8 Cd 0.671 0.750 0.842 1
Pm1 Pm 0.496 0.250 0.492 1
Pm2 Pm 0.996 0.250 0.492 1
Pm3 Pm 0.000 0.000 0.000 1
Pm4 Pm 0.500 0.500 0.000 1
Pm5 Pm 0.504 0.750 0.508 1
Pm6 Pm 0.004 0.750 0.508 1
Ho1 Ho 0.411 0.101 0.822 1
Ho2 Ho 0.089 0.601 0.178 1
Ho3 Ho 0.911 0.399 0.822 1
Ho4 Ho 0.589 0.899 0.178 1
# * spin magnetization: 0.002 μB per formula unit
# * space-group type: No. 64
# * ΔE_f: -116.9 meV per atom
# * total DFT energy (no corrections): -3.124 eV/atom


(2)
# Pm2Ho5Cd GGA-PBE optimized geometry
data_Pm2Ho5Cd
_chemical_formula_sum 'Pm2 Ho5 Cd1'
_cell_length_a 6.965
_cell_length_b 6.947
_cell_length_c 7.037
_cell_angle_alpha 119.58
_cell_angle_beta 119.67
_cell_angle_gamma 89.99
_symmetry_space_group_name_H-M 'P 1'
_symmetry_Int_Tables_number 1
loop_
_symmetry_equiv_pos_as_xyz
'x,y,z'
loop_
_atom_site_label
_atom_site_type_symbol
_atom_site_fract_x
_atom_site_fract_y
_atom_site_fract_z
_atom_site_occupancy
Pm1 Pm 0.722 0.243 0.444 1
Pm2 Pm 0.222 0.686 0.444 1
Cd1 Cd 0.222 0.212 0.444 1
Ho1 Ho 0.738 0.741 0.970 1
Ho2 Ho 0.707 0.215 0.919 1
Ho3 Ho 0.722 0.724 0.444 1
Ho4 Ho 0.212 0.215 0.918 1
Ho5 Ho 0.232 0.741 0.970 1
# * spin magnetization: 0.000 μB per formula unit
# * space-group type: No. 5
# * ΔE_f: -25.1 meV per atom
# * total DFT energy (no corrections): -4.188 eV/atom


(3)
# PmHo3Cd6 GGA-PBE optimized geometry
data_PmHo3Cd6
_chemical_formula_sum 'Pm2 Ho6 Cd12'
_cell_length_a 5.187
_cell_length_b 9.186
_cell_length_c 11.114
_cell_angle_alpha 106.21
_cell_angle_beta 90.00
_cell_angle_gamma 90.00
_symmetry_space_group_name_H-M 'P 1'
_symmetry_Int_Tables_number 1
loop_
_symmetry_equiv_pos_as_xyz
'x,y,z'
loop_
_atom_site_label
_atom_site_type_symbol
_atom_site_fract_x
_atom_site_fract_y
_atom_site_fract_z
_atom_site_occupancy
Cd1 Cd 0.250 0.452 0.096 1
Cd2 Cd 0.250 0.054 0.905 1
Cd3 Cd 0.250 0.145 0.197 1
Cd4 Cd 0.250 0.841 0.303 1
Cd5 Cd 0.750 0.349 0.292 1
Cd6 Cd 0.750 0.159 0.697 1
Cd7 Cd 0.750 0.855 0.803 1
Cd8 Cd 0.750 0.946 0.095 1
Cd9 Cd 0.250 0.651 0.708 1
Cd10 Cd 0.250 0.249 0.504 1
Cd11 Cd 0.750 0.548 0.904 1
Cd12 Cd 0.750 0.751 0.496 1
Ho1 Ho 0.250 0.761 0.001 1
Ho2 Ho 0.750 0.648 0.202 1
Ho3 Ho 0.250 0.529 0.393 1
Ho4 Ho 0.750 0.471 0.607 1
Ho5 Ho 0.750 0.239 0.999 1
Ho6 Ho 0.250 0.352 0.798 1
Pm1 Pm 0.250 0.942 0.611 1
Pm2 Pm 0.750 0.058 0.389 1
# * spin magnetization: 0.000 μB per formula unit
# * space-group type: No. 11
# * ΔE_f: -286.2 meV per atom
# * total DFT energy (no corrections): -2.684 eV/atom


(4)
# PmHoCd3 GGA-PBE optimized geometry
data_PmHoCd3
_chemical_formula_sum 'Pm4 Ho4 Cd12'
_cell_length_a 8.303
_cell_length_b 8.990
_cell_length_c 8.990
_cell_angle_alpha 52.72
_cell_angle_beta 90.00
_cell_angle_gamma 90.00
_symmetry_space_group_name_H-M 'P 1'
_symmetry_Int_Tables_number 1
loop_
_symmetry_equiv_pos_as_xyz
'x,y,z'
loop_
_atom_site_label
_atom_site_type_symbol
_atom_site_fract_x
_atom_site_fract_y
_atom_site_fract_z
_atom_site_occupancy
Cd1 Cd 0.577 0.945 0.267 1
Cd2 Cd 0.077 0.267 0.945 1
Cd3 Cd 0.500 0.658 0.657 1
Cd4 Cd 0.077 0.055 0.733 1
Cd5 Cd 0.423 0.267 0.945 1
Cd6 Cd 0.423 0.055 0.733 1
Cd7 Cd 0.000 0.343 0.342 1
Cd8 Cd 0.000 0.657 0.658 1
Cd9 Cd 0.923 0.733 0.055 1
Cd10 Cd 0.500 0.342 0.343 1
Cd11 Cd 0.577 0.733 0.055 1
Cd12 Cd 0.923 0.945 0.267 1
Ho1 Ho 0.750 0.119 0.881 1
Ho2 Ho 0.250 0.881 0.119 1
Ho3 Ho 0.250 0.444 0.556 1
Ho4 Ho 0.750 0.556 0.444 1
Pm1 Pm 0.250 0.026 0.409 1
Pm2 Pm 0.750 0.409 0.026 1
Pm3 Pm 0.250 0.591 0.974 1
Pm4 Pm 0.750 0.974 0.591 1
# * spin magnetization: 0.000 μB per formula unit
# * space-group type: No. 63
# * E above lowest polymorph: 0.1055 eV per atom
# * ΔE_f: -199.0 meV per atom
# * total DFT energy (no corrections): -2.614 eV/atom


(5)
# PmHoCd GGA-PBE optimized geometry
data_PmHoCd
_chemical_formula_sum 'Pm1 Ho1 Cd1'
_cell_length_a 3.627
_cell_length_b 5.281
_cell_length_c 5.281
_cell_angle_alpha 120.00
_cell_angle_beta 90.00
_cell_angle_gamma 90.00
_symmetry_space_group_name_H-M 'P 1'
_symmetry_Int_Tables_number 1
loop_
_symmetry_equiv_pos_as_xyz
'x,y,z'
loop_
_atom_site_label
_atom_site_type_symbol
_atom_site_fract_x
_atom_site_fract_y
_atom_site_fract_z
_atom_site_occupancy
Cd1 Cd 0.706 0.667 0.333 1
Pm1 Pm 0.368 0.333 0.667 1
Ho1 Ho 0.926 0.000 0.000 1
# * spin magnetization: 0.000 μB per formula unit
# * space-group type: No. 156
# * E above lowest polymorph: 0.1191 eV per atom
# * ΔE_f: -75.6 meV per atom
# * total DFT energy (no corrections): -3.490 eV/atom


(6)
# PmHoCd GGA-PBE optimized geometry
data_PmHoCd
_chemical_formula_sum 'Pm2 Ho2 Cd2'
_cell_length_a 3.528
_cell_length_b 3.489
_cell_length_c 14.395
_cell_angle_alpha 96.96
_cell_angle_beta 89.98
_cell_angle_gamma 90.00
_symmetry_space_group_name_H-M 'P 1'
_symmetry_Int_Tables_number 1
loop_
_symmetry_equiv_pos_as_xyz
'x,y,z'
loop_
_atom_site_label
_atom_site_type_symbol
_atom_site_fract_x
_atom_site_fract_y
_atom_site_fract_z
_atom_site_occupancy
Ho1 Ho 0.559 0.414 0.829 1
Ho2 Ho 0.059 0.829 0.658 1
Cd1 Cd 0.060 0.144 0.288 1
Cd2 Cd 0.059 0.987 0.975 1
Pm1 Pm 0.560 0.721 0.442 1
Pm2 Pm 0.560 0.566 0.133 1
# * spin magnetization: 0.024 μB per formula unit
# * space-group type: No. 38
# * E above lowest polymorph: 0.0778 eV per atom
# * ΔE_f: -116.9 meV per atom
# * total DFT energy (no corrections): -3.531 eV/atom


(7)
# Pm2Ho2Cd GGA-PBE optimized geometry
data_Pm2Ho2Cd
_chemical_formula_sum 'Pm4 Ho4 Cd2'
_cell_length_a 8.483
_cell_length_b 6.316
_cell_length_c 9.018
_cell_angle_alpha 69.37
_cell_angle_beta 58.36
_cell_angle_gamma 47.81
_symmetry_space_group_name_H-M 'P 1'
_symmetry_Int_Tables_number 1
loop_
_symmetry_equiv_pos_as_xyz
'x,y,z'
loop_
_atom_site_label
_atom_site_type_symbol
_atom_site_fract_x
_atom_site_fract_y
_atom_site_fract_z
_atom_site_occupancy
Cd1 Cd 0.841 0.318 0.000 1
Cd2 Cd 0.159 0.682 0.000 1
Ho1 Ho 0.038 0.632 0.721 1
Ho2 Ho 0.962 0.368 0.279 1
Ho3 Ho 0.330 0.632 0.279 1
Ho4 Ho 0.670 0.368 0.721 1
Pm1 Pm 0.731 0.000 0.432 1
Pm2 Pm 0.599 0.000 0.118 1
Pm3 Pm 0.269 0.000 0.568 1
Pm4 Pm 0.401 0.000 0.882 1
# * spin magnetization: 0.000 μB per formula unit
# * space-group type: No. 12
# * E above lowest polymorph: 0.0775 eV per atom
# * ΔE_f: -35.1 meV per atom
# * total DFT energy (no corrections): -3.949 eV/atom


(8)
# Pm2HoCd4 GGA-PBE optimized geometry
data_Pm2HoCd4
_chemical_formula_sum 'Pm2 Ho1 Cd4'
_cell_length_a 5.343
_cell_length_b 5.343
_cell_length_c 8.042
_cell_angle_alpha 109.40
_cell_angle_beta 109.40
_cell_angle_gamma 90.00
_symmetry_space_group_name_H-M 'P 1'
_symmetry_Int_Tables_number 1
loop_
_symmetry_equiv_pos_as_xyz
'x,y,z'
loop_
_atom_site_label
_atom_site_type_symbol
_atom_site_fract_x
_atom_site_fract_y
_atom_site_fract_z
_atom_site_occupancy
Cd1 Cd 0.889 0.389 0.779 1
Cd2 Cd 0.111 0.611 0.221 1
Cd3 Cd 0.389 0.889 0.779 1
Cd4 Cd 0.611 0.111 0.221 1
Pm1 Pm 0.259 0.259 0.518 1
Pm2 Pm 0.741 0.741 0.482 1
Ho1 Ho 0.000 0.000 0.000 1
# * spin magnetization: 0.428 μB per formula unit
# * space-group type: No. 139
# * ΔE_f: -166.6 meV per atom
# * total DFT energy (no corrections): -2.701 eV/atom


(9)
# Pm2Ho6Cd GGA-PBE optimized geometry
data_Pm2Ho6Cd
_chemical_formula_sum 'Pm4 Ho12 Cd2'
_cell_length_a 5.446
_cell_length_b 9.862
_cell_length_c 10.249
_cell_angle_alpha 90.00
_cell_angle_beta 90.01
_cell_angle_gamma 90.00
_symmetry_space_group_name_H-M 'P 1'
_symmetry_Int_Tables_number 1
loop_
_symmetry_equiv_pos_as_xyz
'x,y,z'
loop_
_atom_site_label
_atom_site_type_symbol
_atom_site_fract_x
_atom_site_fract_y
_atom_site_fract_z
_atom_site_occupancy
Ho1 Ho 0.000 0.363 0.109 1
Ho2 Ho 0.000 0.679 0.566 1
Ho3 Ho 0.500 0.821 0.066 1
Ho4 Ho 0.000 0.321 0.434 1
Ho5 Ho 0.500 0.479 0.678 1
Ho6 Ho 0.500 0.521 0.322 1
Ho7 Ho 0.000 0.979 0.822 1
Ho8 Ho 0.000 0.021 0.178 1
Ho9 Ho 0.500 0.179 0.934 1
Ho10 Ho 0.000 0.637 0.891 1
Ho11 Ho 0.500 0.863 0.391 1
Ho12 Ho 0.500 0.137 0.609 1
Pm1 Pm 0.000 0.694 0.240 1
Pm2 Pm 0.000 0.306 0.760 1
Pm3 Pm 0.500 0.806 0.740 1
Pm4 Pm 0.500 0.194 0.260 1
Cd1 Cd 0.500 0.500 0.000 1
Cd2 Cd 0.000 0.000 0.500 1
# * spin magnetization: 0.000 μB per formula unit
# * space-group type: No. 58
# * ΔE_f: 17.7 meV per atom
# * total DFT energy (no corrections): -4.192 eV/atom


(10)
# Pm3Ho4Cd2 GGA-PBE optimized geometry
data_Pm3Ho4Cd2
_chemical_formula_sum 'Pm3 Ho4 Cd2'
_cell_length_a 4.901
_cell_length_b 7.806
_cell_length_c 7.787
_cell_angle_alpha 107.53
_cell_angle_beta 108.34
_cell_angle_gamma 90.00
_symmetry_space_group_name_H-M 'P 1'
_symmetry_Int_Tables_number 1
loop_
_symmetry_equiv_pos_as_xyz
'x,y,z'
loop_
_atom_site_label
_atom_site_type_symbol
_atom_site_fract_x
_atom_site_fract_y
_atom_site_fract_z
_atom_site_occupancy
Ho1 Ho 0.442 0.667 0.885 1
Ho2 Ho 0.778 0.681 0.557 1
Ho3 Ho 0.558 0.333 0.115 1
Ho4 Ho 0.222 0.319 0.443 1
Cd1 Cd 0.334 0.999 0.667 1
Cd2 Cd 0.666 0.001 0.333 1
Pm1 Pm 0.114 0.668 0.228 1
Pm2 Pm 0.000 0.000 0.000 1
Pm3 Pm 0.886 0.332 0.772 1
# * spin magnetization: 0.000 μB per formula unit
# * space-group type: No. 12
# * ΔE_f: -72.3 meV per atom
# * total DFT energy (no corrections): -3.894 eV/atom


(11)
# Pm8HoCd6 GGA-PBE optimized geometry
data_Pm8HoCd6
_chemical_formula_sum 'Pm8 Ho1 Cd6'
_cell_length_a 9.127
_cell_length_b 9.127
_cell_length_c 8.378
_cell_angle_alpha 57.00
_cell_angle_beta 57.00
_cell_angle_gamma 60.00
_symmetry_space_group_name_H-M 'P 1'
_symmetry_Int_Tables_number 1
loop_
_symmetry_equiv_pos_as_xyz
'x,y,z'
loop_
_atom_site_label
_atom_site_type_symbol
_atom_site_fract_x
_atom_site_fract_y
_atom_site_fract_z
_atom_site_occupancy
Pm1 Pm 0.454 0.782 0.649 1
Pm2 Pm 0.116 0.454 0.649 1
Pm3 Pm 0.665 0.665 0.004 1
Pm4 Pm 0.335 0.335 0.996 1
Pm5 Pm 0.546 0.218 0.351 1
Pm6 Pm 0.218 0.884 0.351 1
Pm7 Pm 0.884 0.546 0.351 1
Pm8 Pm 0.782 0.116 0.649 1
Cd1 Cd 0.278 0.622 0.149 1
Cd2 Cd 0.951 0.278 0.149 1
Cd3 Cd 0.049 0.722 0.851 1
Cd4 Cd 0.722 0.378 0.851 1
Cd5 Cd 0.622 0.951 0.149 1
Cd6 Cd 0.378 0.049 0.851 1
Ho1 Ho 0.000 0.000 0.000 1
# * spin magnetization: 1.397 μB per formula unit
# * space-group type: No. 148
# * ΔE_f: -88.3 meV per atom
# * total DFT energy (no corrections): -3.293 eV/atom


(12)
# Pm12HoCd3 GGA-PBE optimized geometry
data_Pm12HoCd3
_chemical_formula_sum 'Pm12 Ho1 Cd3'
_cell_length_a 4.972
_cell_length_b 4.972
_cell_length_c 20.169
_cell_angle_alpha 90.00
_cell_angle_beta 90.00
_cell_angle_gamma 90.00
_symmetry_space_group_name_H-M 'P 1'
_symmetry_Int_Tables_number 1
loop_
_symmetry_equiv_pos_as_xyz
'x,y,z'
loop_
_atom_site_label
_atom_site_type_symbol
_atom_site_fract_x
_atom_site_fract_y
_atom_site_fract_z
_atom_site_occupancy
Pm1 Pm 0.500 0.500 0.500 1
Pm2 Pm 0.500 0.000 0.623 1
Pm3 Pm 0.000 0.500 0.377 1
Pm4 Pm 0.000 0.500 0.870 1
Pm5 Pm 0.500 0.500 0.746 1
Pm6 Pm 0.000 0.500 0.130 1
Pm7 Pm 0.500 0.000 0.130 1
Pm8 Pm 0.500 0.500 0.254 1
Pm9 Pm 0.500 0.000 0.377 1
Pm10 Pm 0.500 0.500 0.000 1
Pm11 Pm 0.000 0.500 0.623 1
Pm12 Pm 0.500 0.000 0.870 1
Cd1 Cd 0.000 0.000 0.257 1
Cd2 Cd 0.000 0.000 0.743 1
Cd3 Cd 0.000 0.000 0.500 1
Ho1 Ho 0.000 0.000 0.000 1
# * spin magnetization: 0.001 μB per formula unit
# * space-group type: No. 123
# * ΔE_f: -71.9 meV per atom
# * total DFT energy (no corrections): -4.093 eV/atom